1.
# NaPrDy PBE relaxed
# Size of the total moment   0.000 μB/atom
# Fermi-level density of states   13.27 states/eV per cell
# E_tot   -3.47 eV/atom
# Mass density   5.1 Mg/m³
data_NaPrDy
_cell_length_a 21.225
_cell_length_b 3.547
_cell_length_c 5.629
_cell_angle_alpha 90.00
_cell_angle_beta 90.01
_cell_angle_gamma 90.00
_space_group_name_H-M_alt 'C 1 2/m 1'
_space_group_IT_number 12
loop_
_space_group_symop_operation_xyz
'x,y,z'
'-x,-y,-z'
'-x,y,-z'
'x,-y,z'
'x+1/2,y+1/2,z'
'-x+1/2,-y+1/2,-z'
'-x+1/2,y+1/2,-z'
'x+1/2,-y+1/2,z'
loop_
_atom_site_label
_atom_site_type_symbol
_atom_site_fract_x
_atom_site_fract_y
_atom_site_fract_z
_atom_site_occupancy
Na1 Na 0.207 0.000 0.249 1
Pr1 Pr 0.107 0.500 0.750 1
Dy1 Dy 0.041 0.000 0.250 1

=====

2.
# NaPrDy PBE relaxed
# Size of the total moment   0.000 μB/atom
# Fermi-level density of states   4.14 states/eV per cell
# E_tot   -3.45 eV/atom
# Mass density   5.2 Mg/m³
data_NaPrDy
_cell_length_a 3.6035
_cell_length_b 3.6035
_cell_length_c 9.2749
_cell_angle_alpha 90.00
_cell_angle_beta 90.00
_cell_angle_gamma 120.00
_space_group_name_H-M_alt 'P 3 m 1'
_space_group_IT_number 156
loop_
_space_group_symop_operation_xyz
'x,y,z'
'-y,x-y,z'
'-x+y,-x,z'
'-y,-x,z'
'-x+y,y,z'
'x,x-y,z'
loop_
_atom_site_label
_atom_site_type_symbol
_atom_site_fract_x
_atom_site_fract_y
_atom_site_fract_z
_atom_site_occupancy
Na1 Na 0.0000 0.0000 0.0000 1
Pr1 Pr 0.3333 0.6667 0.6462 1
Dy1 Dy 0.6667 0.3333 0.3428 1

=====

3.
# NaPrDy PBE relaxed
# Size of the total moment   0.000 μB/atom
# Fermi-level density of states   7.51 states/eV per cell
# E_tot   -3.43 eV/atom
# Mass density   5.2 Mg/m³
data_NaPrDy
_cell_length_a 3.565
_cell_length_b 3.565
_cell_length_c 16.409
_cell_angle_alpha 90.00
_cell_angle_beta 90.00
_cell_angle_gamma 90.00
_space_group_name_H-M_alt 'I 4 m m'
_space_group_IT_number 107
_space_group_name_Hall 'I 4 -2'
loop_
_atom_site_label
_atom_site_type_symbol
_atom_site_fract_x
_atom_site_fract_y
_atom_site_fract_z
_atom_site_occupancy
Na1 Na 0.000 0.000 0.000 1
Pr1 Pr 0.000 0.000 0.678 1
Dy1 Dy 0.000 0.000 0.329 1